The following is a DFT calculation (GGA+U) of crystalline MnTl2Cu2F6 at its relaxed geometry.

abc: 11.143 5.838 6.986
angles: 90.00 126.56 90.00
Space group C2/m (No. 12)
One atom of each set of equivalent atoms:
Mn (0.000, 0.000, 0.000) (multiplicity 2)
Tl (0.226, 0.000, 0.758) (multiplicity 4)
Cu (0.076, 0.500, 0.410) (multiplicity 4)
F (0.053, 0.256, 0.842) (multiplicity 8)
F (0.233, 0.000, 0.288) (multiplicity 4)

M_tot ... 4.9 μB per formula unit
Total energy ... -101.43 eV per cell
ρ ... 6.41 g cm⁻³